No. 1
A relaxed structure of Tb2Zn7Pd, computed with PBE.

Summary:
The crystal system is tetragonal. The formation energy from the elements comes out at -359.0 kJ/mol of formula units. Its space-group type is P-4m2 (115). For the theoretical density, the calculation gives 8.01 g/cm³.

Lattice parameters (Å, degrees): 4.0661 4.0661 11.0668 90.00 90.00 90.00
Fractional coordinates of all 10 atoms:
1 Zn 0.5000 0.5000 0.5000
2 Pd 0.5000 0.5000 0.0000
3 Zn 0.0000 0.5000 0.8589
4 Zn 0.0000 0.5000 0.6386
5 Zn 0.5000 0.0000 0.1411
6 Zn 0.5000 0.0000 0.3614
7 Zn 0.0000 0.0000 0.5000
8 Zn 0.0000 0.0000 0.0000
9 Tb 0.0000 0.5000 0.2510
10 Tb 0.5000 0.0000 0.7490



No. 2
A relaxed structure of TbZnPd3, computed with PBE.

Summary:
The crystal system is orthorhombic. The formation energy from the elements comes out at -263.7 kJ/mol of formula units. Its space-group type is Pnma (62). For the theoretical density, the calculation gives 9.70 g/cm³.

Lattice parameters (Å, degrees): 5.9175 7.6885 8.1831 90.00 90.00 90.00
Fractional coordinates of all 20 atoms:
1 Tb 0.3796 0.4910 0.7500
2 Pd 0.3208 0.1250 0.7500
3 Pd 0.3086 0.2860 0.4291
4 Tb 0.1204 0.9910 0.2500
5 Pd 0.8208 0.3750 0.7500
6 Pd 0.8086 0.2140 0.4291
7 Tb 0.8796 0.0090 0.7500
8 Zn 0.0000 0.5000 0.5000
9 Pd 0.1914 0.7860 0.5709
10 Pd 0.6914 0.7140 0.9291
11 Pd 0.3086 0.2860 0.0709
12 Pd 0.1792 0.6250 0.2500
13 Pd 0.6792 0.8750 0.2500
14 Tb 0.6204 0.5090 0.2500
15 Pd 0.1914 0.7860 0.9291
16 Zn 0.5000 0.0000 0.5000
17 Pd 0.8086 0.2140 0.0709
18 Zn 0.5000 0.0000 0.0000
19 Zn 0.0000 0.5000 0.0000
20 Pd 0.6914 0.7140 0.5709



No. 3
A relaxed structure of Tb3Zn3Pd2, computed with PBE.

Summary:
The crystal system is orthorhombic. The formation energy from the elements comes out at -465.2 kJ/mol of formula units. Its space-group type is Pnma (62). For the theoretical density, the calculation gives 8.71 g/cm³.

Lattice parameters (Å, degrees): 5.4767 7.5879 16.2641 90.00 90.00 90.00
Fractional coordinates of all 32 atoms:
1 Tb 0.1232 0.4603 0.1066
2 Tb 0.8768 0.5397 0.6066
3 Zn 0.1414 0.1767 0.2500
4 Zn 0.5995 0.3194 0.0301
5 Zn 0.9005 0.8194 0.0301
6 Pd 0.1251 0.8885 0.8835
7 Zn 0.6414 0.3233 0.7500
8 Pd 0.3749 0.3885 0.6165
9 Zn 0.4005 0.6806 0.5301
10 Pd 0.8749 0.1115 0.1165
11 Zn 0.3586 0.6767 0.2500
12 Pd 0.3749 0.3885 0.8835
13 Tb 0.6232 0.0397 0.8934
14 Zn 0.4005 0.6806 0.9699
15 Pd 0.6251 0.6115 0.1165
16 Zn 0.5995 0.3194 0.4699
17 Tb 0.8768 0.5397 0.8934
18 Tb 0.3768 0.9603 0.1066
19 Tb 0.1373 0.1656 0.7500
20 Pd 0.1251 0.8885 0.6165
21 Pd 0.6251 0.6115 0.3835
22 Zn 0.0995 0.1806 0.5301
23 Tb 0.8627 0.8344 0.2500
24 Zn 0.0995 0.1806 0.9699
25 Zn 0.9005 0.8194 0.4699
26 Tb 0.3768 0.9603 0.3934
27 Tb 0.3627 0.6656 0.7500
28 Zn 0.8586 0.8233 0.7500
29 Tb 0.6232 0.0397 0.6066
30 Tb 0.1232 0.4603 0.3934
31 Pd 0.8749 0.1115 0.3835
32 Tb 0.6373 0.3344 0.2500



No. 4
A relaxed structure of TbZn12Pd6, computed with PBE.

Summary:
The crystal system is trigonal. The formation energy from the elements comes out at -578.4 kJ/mol of formula units. Its space-group type is R-3m (166). For the theoretical density, the calculation gives 8.21 g/cm³.

Lattice parameters (Å, degrees): 7.1654 7.1654 7.1654 105.23 105.23 105.23
Fractional coordinates of all 19 atoms:
1 Zn 0.5000 0.1107 0.8893
2 Zn 0.8893 0.1107 0.5000
3 Pd 0.2840 0.2840 0.7080
4 Zn 0.3844 0.1352 0.3844
5 Pd 0.2840 0.7080 0.2840
6 Pd 0.7080 0.2840 0.2840
7 Pd 0.7160 0.2920 0.7160
8 Zn 0.5000 0.8893 0.1107
9 Zn 0.6156 0.8648 0.6156
10 Zn 0.3844 0.3844 0.1352
11 Zn 0.1352 0.3844 0.3844
12 Zn 0.1107 0.5000 0.8893
13 Pd 0.2920 0.7160 0.7160
14 Zn 0.8648 0.6156 0.6156
15 Tb 0.0000 0.0000 0.0000
16 Zn 0.8893 0.5000 0.1107
17 Pd 0.7160 0.7160 0.2920
18 Zn 0.6156 0.6156 0.8648
19 Zn 0.1107 0.8893 0.5000



No. 5
A relaxed structure of Tb3Zn2Pd6, computed with PBE.

Summary:
The crystal system is cubic. The formation energy from the elements comes out at -828.5 kJ/mol of formula units. Its space-group type is Im-3m (229). For the theoretical density, the calculation gives 9.63 g/cm³.

Lattice parameters (Å, degrees): 8.2334 8.2334 8.2334 109.47 109.47 109.47
Fractional coordinates of all 22 atoms:
1 Pd 0.3340 0.3340 0.6681
2 Pd 0.0000 0.6660 0.3340
3 Pd 0.3340 0.6660 0.0000
4 Tb 0.3007 0.3007 0.0000
5 Pd 0.6660 0.0000 0.3340
6 Pd 0.0000 0.3340 0.6660
7 Pd 0.3340 0.6681 0.3340
8 Zn 0.0000 0.5000 0.0000
9 Pd 0.6660 0.3340 0.0000
10 Tb 0.6993 0.6993 0.0000
11 Pd 0.6660 0.6660 0.3319
12 Pd 0.3319 0.6660 0.6660
13 Zn 0.5000 0.5000 0.5000
14 Tb 0.0000 0.3007 0.3007
15 Zn 0.0000 0.0000 0.5000
16 Tb 0.6993 0.0000 0.6993
17 Pd 0.6660 0.3319 0.6660
18 Pd 0.6681 0.3340 0.3340
19 Pd 0.3340 0.0000 0.6660
20 Tb 0.0000 0.6993 0.6993
21 Zn 0.5000 0.0000 0.0000
22 Tb 0.3007 0.0000 0.3007



No. 6
A relaxed structure of Tb3Zn2Pd5, computed with PBE.

Summary:
The crystal system is tetragonal. The formation energy from the elements comes out at -745.8 kJ/mol of formula units. Its space-group type is P4/mbm (127). For the theoretical density, the calculation gives 9.94 g/cm³.

Lattice parameters (Å, degrees): 3.8915 9.8942 9.8942 90.00 90.00 90.00
Fractional coordinates of all 20 atoms:
1 Tb 0.0000 0.5000 0.5000
2 Tb 0.0000 0.3246 0.8246
3 Pd 0.5000 0.7126 0.4297
4 Tb 0.0000 0.1754 0.3246
5 Tb 0.0000 0.8246 0.6754
6 Pd 0.5000 0.7874 0.9297
7 Pd 0.5000 0.4297 0.2874
8 Zn 0.0000 0.8807 0.3807
9 Pd 0.5000 0.5000 0.0000
10 Tb 0.0000 0.0000 0.0000
11 Zn 0.0000 0.6193 0.8807
12 Zn 0.0000 0.3807 0.1193
13 Pd 0.5000 0.0703 0.7874
14 Pd 0.5000 0.5703 0.7126
15 Tb 0.0000 0.6754 0.1754
16 Pd 0.5000 0.0000 0.5000
17 Pd 0.5000 0.2126 0.0703
18 Zn 0.0000 0.1193 0.6193
19 Pd 0.5000 0.2874 0.5703
20 Pd 0.5000 0.9297 0.2126



No. 7
A relaxed structure of TbZn3Pd3, computed with PBE.

Summary:
The crystal system is cubic. The formation energy from the elements comes out at -19.2 kJ/mol of formula units. Its space-group type is Pm-3n (223). For the theoretical density, the calculation gives 7.22 g/cm³. The relative energy among the computed polymorphs is 0.503 eV/atom.

Lattice parameters (Å, degrees): 6.7698 6.7698 6.7698 90.00 90.00 90.00
Fractional coordinates of all 14 atoms:
1 Tb 0.5000 0.5000 0.5000
2 Zn 0.5000 0.0000 0.2500
3 Zn 0.5000 0.0000 0.7500
4 Pd 0.2500 0.0000 0.5000
5 Zn 0.0000 0.2500 0.5000
6 Pd 0.0000 0.5000 0.7500
7 Pd 0.5000 0.2500 0.0000
8 Zn 0.7500 0.5000 0.0000
9 Pd 0.5000 0.7500 0.0000
10 Pd 0.0000 0.5000 0.2500
11 Zn 0.0000 0.7500 0.5000
12 Pd 0.7500 0.0000 0.5000
13 Zn 0.2500 0.5000 0.0000
14 Tb 0.0000 0.0000 0.0000



No. 8
A relaxed structure of Tb3Zn2Pd4, computed with PBE.

Summary:
The crystal system is monoclinic. The formation energy from the elements comes out at -654.9 kJ/mol of formula units. Its space-group type is C2/m (12). For the theoretical density, the calculation gives 9.31 g/cm³. The relative energy among the computed polymorphs is 0.003 eV/atom.

Lattice parameters (Å, degrees): 4.3081 5.3693 8.7404 94.98 90.00 113.65
Fractional coordinates of all 9 atoms:
1 Zn 0.6781 0.3562 0.7817
2 Pd 0.7132 0.4265 0.0887
3 Tb 0.3752 0.7504 0.6169
4 Pd 0.0839 0.1678 0.6358
5 Pd 0.9161 0.8322 0.3642
6 Zn 0.3219 0.6438 0.2183
7 Tb 0.0000 0.0000 0.0000
8 Pd 0.2868 0.5735 0.9113
9 Tb 0.6248 0.2496 0.3831



No. 9
A relaxed structure of TbZn4Pd8, computed with PBE.

Summary:
The crystal system is tetragonal. The formation energy from the elements comes out at -704.4 kJ/mol of formula units. Its space-group type is I4/mmm (139). For the theoretical density, the calculation gives 10.19 g/cm³.

Lattice parameters (Å, degrees): 5.3116 6.7885 6.7885 81.20 66.97 66.97
Fractional coordinates of all 13 atoms:
1 Zn 0.0000 0.0000 0.5000
2 Pd 0.0000 0.3401 0.6599
3 Zn 0.5000 0.5000 0.0000
4 Pd 0.5000 0.2217 0.7783
5 Zn 0.0000 0.5000 0.0000
6 Pd 0.0000 0.6599 0.3401
7 Tb 0.0000 0.0000 0.0000
8 Pd 0.5000 0.7783 0.2217
9 Pd 0.2783 0.2217 0.2217
10 Zn 0.5000 0.0000 0.5000
11 Pd 0.7217 0.7783 0.7783
12 Pd 0.3401 0.6599 0.6599
13 Pd 0.6599 0.3401 0.3401



No. 10
A relaxed structure of Tb3Zn4Pd4, computed with PBE.

Summary:
The crystal system is orthorhombic. The formation energy from the elements comes out at -737.8 kJ/mol of formula units. Its space-group type is Immm (71). For the theoretical density, the calculation gives 9.10 g/cm³. The relative energy among the computed polymorphs is 0.000 eV/atom.

Lattice parameters (Å, degrees): 4.0608 7.3954 8.2361 116.68 104.27 90.00
Fractional coordinates of all 11 atoms:
1 Zn 0.6729 0.4766 0.3459
2 Tb 0.8733 0.8733 0.7467
3 Pd 0.7826 0.2826 0.5651
4 Pd 0.2174 0.7174 0.4349
5 Zn 0.3271 0.5234 0.6541
6 Tb 0.1267 0.1267 0.2533
7 Pd 0.5000 0.8066 0.0000
8 Pd 0.5000 0.1934 0.0000
9 Zn 0.3271 0.1307 0.6541
10 Zn 0.6729 0.8693 0.3459
11 Tb 0.0000 0.5000 0.0000



No. 11
A relaxed structure of TbZn2Pd4, computed with PBE.

Summary:
The crystal system is monoclinic. The formation energy from the elements comes out at -431.2 kJ/mol of formula units. Its space-group type is C2/m (12). For the theoretical density, the calculation gives 10.07 g/cm³.

Lattice parameters (Å, degrees): 5.4030 5.3790 5.4030 119.38 110.44 60.62
Fractional coordinates of all 7 atoms:
1 Pd 0.0183 0.6978 0.4126
2 Zn 0.4982 0.2382 0.5018
3 Pd 0.5874 0.6978 0.9817
4 Pd 0.4126 0.3022 0.0183
5 Tb 0.0000 0.0000 0.0000
6 Zn 0.5018 0.7618 0.4982
7 Pd 0.9817 0.3022 0.5874



No. 12
A relaxed structure of Tb2Zn3Pd4, computed with PBE.

Summary:
The crystal system is orthorhombic. The formation energy from the elements comes out at -631.6 kJ/mol of formula units. Its space-group type is Cmce (64). For the theoretical density, the calculation gives 9.61 g/cm³.

Lattice parameters (Å, degrees): 5.6087 7.6335 8.0889 90.00 110.28 90.00
Fractional coordinates of all 18 atoms:
1 Zn 0.9775 0.2500 0.4551
2 Pd 0.8072 0.2500 0.1145
3 Tb 0.6133 0.9196 0.2265
4 Zn 0.0225 0.7500 0.5449
5 Pd 0.6769 0.5236 0.3538
6 Pd 0.1928 0.7500 0.8855
7 Pd 0.3231 0.4764 0.6462
8 Pd 0.3072 0.2500 0.1145
9 Pd 0.8231 0.0236 0.6462
10 Pd 0.6928 0.7500 0.8855
11 Tb 0.8867 0.4196 0.7735
12 Zn 0.4775 0.2500 0.4551
13 Tb 0.1133 0.5804 0.2265
14 Zn 0.5225 0.7500 0.5449
15 Zn 0.0000 0.0000 0.0000
16 Tb 0.3867 0.0804 0.7735
17 Zn 0.5000 0.5000 0.0000
18 Pd 0.1769 0.9764 0.3538



No. 13
A relaxed structure of TbZn2Pd2, computed with PBE.

Summary:
The crystal system is monoclinic. The formation energy from the elements comes out at -306.7 kJ/mol of formula units. Its space-group type is P2_1/m (11). For the theoretical density, the calculation gives 9.16 g/cm³. The relative energy among the computed polymorphs is 0.000 eV/atom.

Lattice parameters (Å, degrees): 4.6142 4.8619 8.2553 100.32 90.00 90.00
Fractional coordinates of all 10 atoms:
1 Pd 0.2500 0.7982 0.5074
2 Pd 0.7500 0.2018 0.4926
3 Zn 0.7500 0.3583 0.0028
4 Tb 0.2500 0.2125 0.2679
5 Zn 0.7500 0.6650 0.3535
6 Pd 0.2500 0.1103 0.9031
7 Zn 0.2500 0.6417 0.9972
8 Zn 0.2500 0.3350 0.6465
9 Tb 0.7500 0.7875 0.7321
10 Pd 0.7500 0.8897 0.0969



No. 14
A relaxed structure of TbZn9Pd3, computed with PBE.

Summary:
The crystal system is monoclinic. The formation energy from the elements comes out at -479.2 kJ/mol of formula units. Its space-group type is C2/m (12). For the theoretical density, the calculation gives 8.44 g/cm³.

Lattice parameters (Å, degrees): 5.3219 6.8050 6.8858 80.93 67.27 65.93
Fractional coordinates of all 13 atoms:
1 Zn 0.6393 0.3462 0.3518
2 Zn 0.4954 0.2154 0.7832
3 Pd 0.0000 0.0000 0.5000
4 Zn 0.7214 0.7846 0.7832
5 Zn 0.5046 0.7846 0.2168
6 Zn 0.0000 0.5000 0.0000
7 Zn 0.2786 0.2154 0.2168
8 Pd 0.5000 0.0000 0.5000
9 Zn 0.0089 0.6538 0.3518
10 Pd 0.5000 0.5000 0.0000
11 Tb 0.0000 0.0000 0.0000
12 Zn 0.9911 0.3462 0.6482
13 Zn 0.3607 0.6538 0.6482



No. 15
A relaxed structure of Tb5Zn2Pd2, computed with PBE.

Summary:
The crystal system is orthorhombic. The formation energy from the elements comes out at -418.3 kJ/mol of formula units. Its space-group type is Cmce (64). For the theoretical density, the calculation gives 8.51 g/cm³.

Lattice parameters (Å, degrees): 8.1381 7.1402 8.4390 115.03 90.00 90.00
Fractional coordinates of all 18 atoms:
1 Tb 0.8201 0.8051 0.2678
2 Tb 0.6799 0.3051 0.2678
3 Tb 0.3201 0.9627 0.2678
4 Zn 0.5000 0.2897 0.5795
5 Zn 0.0000 0.2103 0.4205
6 Zn 0.5000 0.7103 0.4205
7 Tb 0.1799 0.4627 0.2678
8 Pd 0.1315 0.6238 0.0000
9 Tb 0.5000 0.5000 0.0000
10 Tb 0.0000 0.0000 0.0000
11 Tb 0.3201 0.6949 0.7322
12 Tb 0.8201 0.5373 0.7322
13 Pd 0.3685 0.1238 0.0000
14 Pd 0.8685 0.3762 0.0000
15 Pd 0.6315 0.8762 0.0000
16 Tb 0.6799 0.0373 0.7322
17 Tb 0.1799 0.1949 0.7322
18 Zn 0.0000 0.7897 0.5795



No. 16
A relaxed structure of Tb4ZnPd12, computed with PBE.

Summary:
The crystal system is cubic. The formation energy from the elements comes out at -1394.2 kJ/mol of formula units. Its space-group type is Im-3m (229). For the theoretical density, the calculation gives 10.84 g/cm³.

Lattice parameters (Å, degrees): 7.3278 7.3278 7.3278 109.47 109.47 109.47
Fractional coordinates of all 17 atoms:
1 Pd 0.5000 0.2500 0.7500
2 Pd 0.2878 0.2878 0.0000
3 Pd 0.0000 0.7122 0.7122
4 Tb 0.5000 0.0000 0.0000
5 Pd 0.2500 0.7500 0.5000
6 Zn 0.0000 0.0000 0.0000
7 Tb 0.5000 0.5000 0.5000
8 Pd 0.7500 0.2500 0.5000
9 Tb 0.0000 0.5000 0.0000
10 Pd 0.2878 0.0000 0.2878
11 Pd 0.2500 0.5000 0.7500
12 Pd 0.0000 0.2878 0.2878
13 Pd 0.7122 0.7122 0.0000
14 Pd 0.5000 0.7500 0.2500
15 Tb 0.0000 0.0000 0.5000
16 Pd 0.7500 0.5000 0.2500
17 Pd 0.7122 0.0000 0.7122



No. 17
A relaxed structure of TbZn9Pd2, computed with PBE.

Summary:
The crystal system is tetragonal. The formation energy from the elements comes out at -408.4 kJ/mol of formula units. Its space-group type is I4_1/amd (141). For the theoretical density, the calculation gives 8.25 g/cm³. The relative energy among the computed polymorphs is 0.000 eV/atom.

Lattice parameters (Å, degrees): 6.9360 8.2323 8.2323 79.78 65.09 65.09
Fractional coordinates of all 24 atoms:
1 Zn 0.0069 0.9144 0.6730
2 Pd 0.8750 0.2500 0.7500
3 Zn 0.6713 0.1730 0.5856
4 Zn 0.0787 0.9144 0.3270
5 Zn 0.6713 0.5856 0.1730
6 Zn 0.7431 0.8270 0.5856
7 Zn 0.4300 0.8270 0.4144
8 Zn 0.0787 0.3270 0.9144
9 Zn 0.3200 0.0856 0.6730
10 Pd 0.3750 0.7500 0.7500
11 Tb 0.2500 0.5000 0.5000
12 Zn 0.7431 0.5856 0.8270
13 Tb 0.5000 0.0000 0.0000
14 Zn 0.5944 0.0856 0.3270
15 Zn 0.0000 0.0000 0.0000
16 Pd 0.8750 0.2500 0.2500
17 Zn 0.1556 0.4144 0.1730
18 Zn 0.3200 0.6730 0.0856
19 Zn 0.5944 0.3270 0.0856
20 Zn 0.7500 0.5000 0.5000
21 Zn 0.0069 0.6730 0.9144
22 Zn 0.1556 0.1730 0.4144
23 Zn 0.4300 0.4144 0.8270
24 Pd 0.8750 0.7500 0.2500